(1)
Density functional theory data (PBE-GGA) for Be3GaHg after structural relaxation.

a = 4.332 Å, b = 4.332 Å, c = 4.332 Å
α = 90.00°, β = 90.00°, γ = 90.00°
Positions (direct):
Be 0.000 0.500 0.000
Be 0.500 0.000 0.000
Hg 0.500 0.500 0.500
Ga 0.000 0.000 0.000
Be 0.000 0.000 0.500

* theoretical density: 6.07 g/cm3
* formation enthalpy at 0 K: 0.766 eV/atom
* volume: 81 Å³/cell
* E_tot: -10.68 eV per cell
* density of states at the Fermi level: 0.22 states/eV per atom


(2)
Density functional theory data (PBE-GGA) for BeGa2Hg after structural relaxation.

a = 4.715 Å, b = 4.715 Å, c = 4.715 Å
α = 60.00°, β = 60.00°, γ = 60.00°
Positions (direct):
Ga 0.750 0.750 0.750
Hg 0.500 0.500 0.500
Be 0.000 0.000 0.000
Ga 0.250 0.250 0.250

* theoretical density: 7.82 g/cm3
* formation enthalpy at 0 K: 0.466 eV/atom
* volume: 74 Å³/cell
* E_tot: -8.22 eV per cell
* density of states at the Fermi level: 0.34 states/eV per atom


(3)
Density functional theory data (PBE-GGA) for BeGa2Hg2 after structural relaxation.

a = 6.197 Å, b = 6.197 Å, c = 5.382 Å
α = 90.00°, β = 90.00°, γ = 90.00°
Positions (direct):
Hg 0.814 0.314 0.500
Be 0.000 0.000 0.000
Ga 0.835 0.665 0.000
Ga 0.165 0.335 0.000
Hg 0.314 0.186 0.500
Be 0.500 0.500 0.000
Hg 0.186 0.686 0.500
Ga 0.335 0.835 0.000
Hg 0.686 0.814 0.500
Ga 0.665 0.165 0.000

* theoretical density: 8.83 g/cm3
* formation enthalpy at 0 K: 0.275 eV/atom
* volume: 207 Å³/cell
* E_tot: -18.02 eV per cell
* density of states at the Fermi level: 0.35 states/eV per atom


(4)
Density functional theory data (PBE-GGA) for BeGa3Hg after structural relaxation.

a = 5.179 Å, b = 5.179 Å, c = 5.179 Å
α = 90.00°, β = 90.00°, γ = 90.00°
Positions (direct):
Hg 0.000 0.000 0.000
Ga 0.000 0.500 0.000
Ga 0.500 0.000 0.000
Be 0.500 0.500 0.500
Ga 0.000 0.000 0.500

* theoretical density: 5.00 g/cm3
* formation enthalpy at 0 K: 0.971 eV/atom
* volume: 139 Å³/cell
* E_tot: -8.25 eV per cell
* density of states at the Fermi level: 0.56 states/eV per atom


(5)
Density functional theory data (PBE-GGA) for BeGa3Hg after structural relaxation.

a = 4.615 Å, b = 4.615 Å, c = 4.615 Å
α = 90.00°, β = 90.00°, γ = 90.00°
Positions (direct):
Ga 0.000 0.500 0.000
Be 0.000 0.000 0.000
Ga 0.000 0.000 0.500
Hg 0.500 0.500 0.500
Ga 0.500 0.000 0.000

* theoretical density: 7.08 g/cm3
* formation enthalpy at 0 K: 0.205 eV/atom
* volume: 98 Å³/cell
* E_tot: -12.09 eV per cell
* density of states at the Fermi level: 0.35 states/eV per atom


(6)
Density functional theory data (PBE-GGA) for BeGa2Hg2 after structural relaxation.

a = 6.761 Å, b = 6.761 Å, c = 4.653 Å
α = 90.00°, β = 90.00°, γ = 90.00°
Positions (direct):
Ga 0.640 0.860 0.500
Hg 0.810 0.690 0.000
Be 0.500 0.500 0.000
Hg 0.190 0.310 0.000
Be 0.000 0.000 0.000
Hg 0.310 0.810 0.000
Ga 0.140 0.640 0.500
Hg 0.690 0.190 0.000
Ga 0.860 0.360 0.500
Ga 0.360 0.140 0.500

* theoretical density: 8.58 g/cm3
* formation enthalpy at 0 K: 0.338 eV/atom
* volume: 213 Å³/cell
* E_tot: -17.39 eV per cell
* density of states at the Fermi level: 0.32 states/eV per atom


In order of appearance, magnetization = 0.00 0.00 0.00 0.00 0.00 0.00 μB per formula unit.